[1]
Density functional theory data (GGA+U) for a relaxed structure of Fe2BiCl2O2.

## Properties
- M_tot (μB per atom) = 1.105
- uncorrected energy (eV/cell) = -36.415

Unit cell a=3.5999 b=6.4351 c=6.5767 alpha=80.61 beta=74.13 gamma=73.90
Element x y z (fractional)
Fe 0.1803 0.2000 0.4406
Fe 0.8197 0.8000 0.5594
Bi 0.0000 0.0000 0.0000
Cl 0.0860 0.5979 0.2405
Cl 0.9140 0.4021 0.7595
O 0.2290 0.8869 0.6548
O 0.7710 0.1131 0.3452

[2]
Density functional theory data (GGA+U) for a relaxed structure of FeBi2Se2Cl3O7.

## Properties
- M_tot (μB per atom) = 0.332
- uncorrected energy (eV/cell) = -153.332

Unit cell a=8.6999 b=7.2201 c=8.8460 alpha=90.00 beta=105.99 gamma=90.00
Element x y z (fractional)
Fe 0.0000 0.0000 0.0000
Fe 0.0000 0.5000 0.0000
Bi 0.2235 0.2500 0.7699
Bi 0.3010 0.2500 0.2475
Bi 0.6990 0.7500 0.7525
Bi 0.7765 0.7500 0.2301
Se 0.1032 0.7500 0.7138
Se 0.2318 0.7500 0.3179
Se 0.7682 0.2500 0.6821
Se 0.8968 0.2500 0.2862
Cl 0.3811 0.0123 0.6222
Cl 0.3811 0.4877 0.6222
Cl 0.4723 0.2500 0.0216
Cl 0.5277 0.7500 0.9784
Cl 0.6189 0.5123 0.3778
Cl 0.6189 0.9877 0.3778
O 0.0591 0.7500 0.3704
O 0.1000 0.2500 0.3690
O 0.1058 0.2500 0.0182
O 0.1285 0.5612 0.8447
O 0.1285 0.9388 0.8447
O 0.2014 0.5623 0.1816
O 0.2014 0.9377 0.1816
O 0.7986 0.0623 0.8184
O 0.7986 0.4377 0.8184
O 0.8715 0.0612 0.1553
O 0.8715 0.4388 0.1553
O 0.8942 0.7500 0.9818
O 0.9000 0.7500 0.6310
O 0.9409 0.2500 0.6296